The following is a GGA-PBEsol calculation of HfAl3W after structural relaxation, from Alexandria.

abc: 4.693 4.693 4.693
angles: 90.00 90.00 90.00
Space group Pm-3m (No. 221)
Asymmetric unit:
Hf: 0.000 0.000 0.000
Al: 0.000 0.500 0.500
W: 0.500 0.500 0.500

N(E_F) = 0.535 states/eV/atom
VASP energy = -6.529 eV/atom
size of the total moment = 0.0 Bohr magnetons per cell
energy relative to the elements = 0.788 eV per atom

The following is a GGA-PBEsol calculation of Y3HfAl after structural relaxation, from Alexandria.

abc: 5.379 5.379 5.379
angles: 90.00 90.00 90.00
Space group Pm-3m (No. 221)
Asymmetric unit:
Y: 0.000 0.000 0.500
Hf: 0.500 0.500 0.500
Al: 0.000 0.000 0.000

N(E_F) = 2.283 states/eV/atom
VASP energy = -6.298 eV/atom
size of the total moment = 2.6 Bohr magnetons per cell
energy relative to the elements = 0.714 eV per atom

The following is a GGA-PBEsol calculation of YHf3Al after structural relaxation, from Alexandria.

abc: 5.031 5.031 5.031
angles: 90.00 90.00 90.00
Space group Pm-3m (No. 221)
Asymmetric unit:
Y: 0.000 0.000 0.000
Hf: 0.000 0.500 0.500
Al: 0.500 0.500 0.500

N(E_F) = 2.013 states/eV/atom
VASP energy = -7.816 eV/atom
size of the total moment = 0.0 Bohr magnetons per cell
energy relative to the elements = 0.668 eV per atom

The following is a GGA-PBEsol calculation of HfAlZn after structural relaxation, from Alexandria.

abc: 5.128 5.223 7.280
angles: 90.00 90.00 90.00
Space group Imma (No. 74)
Asymmetric unit:
Hf: 0.000 0.250 0.126
Al: 0.000 0.000 0.500
Zn: 0.250 0.250 0.750

N(E_F) = 0.778 states/eV/atom
VASP energy = -5.784 eV/atom
size of the total moment = 0.0 Bohr magnetons per cell
energy relative to the elements = -0.392 eV per atom

The following is a GGA-PBEsol calculation of Hf2Al3Zn after structural relaxation, from Alexandria.

abc: 5.2381 5.2381 12.5413
angles: 90.00 90.00 120.00
Space group R-3m (No. 166, hexagonal axes)
Asymmetric unit:
Hf: 0.0000 0.0000 0.1243
Al: 0.0000 0.5000 0.0000
Zn: 0.0000 0.0000 0.5000

N(E_F) = 0.376 states/eV/atom
VASP energy = -6.255 eV/atom
size of the total moment = 0.0 Bohr magnetons per cell
energy relative to the elements = -0.445 eV per atom

The following is a GGA-PBEsol calculation of Hf2ZrAl2 after structural relaxation, from Alexandria.

abc: 7.608 7.608 3.357
angles: 90.00 90.00 90.00
Space group P4/mbm (No. 127)
Asymmetric unit:
Hf: 0.178 0.322 0.000
Zr: 0.000 0.000 0.500
Al: 0.120 0.620 0.500

N(E_F) = 0.923 states/eV/atom
VASP energy = -7.979 eV/atom
size of the total moment = 0.0 Bohr magnetons per cell
energy relative to the elements = -0.323 eV per atom

The following is a GGA-PBEsol calculation of HfZr2Al2 after structural relaxation, from Alexandria.

abc: 7.571 7.571 3.439
angles: 90.00 90.00 90.00
Space group P4/mbm (No. 127)
Asymmetric unit:
Hf: 0.000 0.000 0.000
Zr: 0.177 0.323 0.500
Al: 0.121 0.621 0.000

N(E_F) = 0.962 states/eV/atom
VASP energy = -7.739 eV/atom
size of the total moment = 0.0 Bohr magnetons per cell
energy relative to the elements = -0.366 eV per atom

The following is a GGA-PBEsol calculation of Hf2Zr2Al after structural relaxation, from Alexandria.

abc: 3.955 3.955 14.157
angles: 90.00 90.00 90.00
Space group I4/mmm (No. 139)
Asymmetric unit:
Hf: 0.000 0.000 0.089
Zr: 0.000 0.500 0.250
Al: 0.000 0.000 0.500

N(E_F) = 0.754 states/eV/atom
VASP energy = -8.142 eV/atom
size of the total moment = 0.0 Bohr magnetons per cell
energy relative to the elements = 0.514 eV per atom

energy relative to the elements of number 4 (HfAlZn)? -0.392 eV per atom